[1]
This record from the Alexandria database describes a relaxed structure of SrTbTcO6. The functional is PBE-GGA.

Cell lengths 5.574, 5.574, 5.235 Å; angles 90.00, 90.00, 60.00 degrees
Fractional coordinates of all 9 atoms:
Sr 0.000 0.000 0.000
Tb 0.667 0.667 0.500
Tc 0.333 0.333 0.500
O 0.046 0.344 0.292
O 0.344 0.046 0.708
O 0.609 0.344 0.708
O 0.046 0.609 0.708
O 0.344 0.609 0.292
O 0.609 0.046 0.292

Computed properties:
Magnetic moment ... 0.000 μB/cell
ΔE_f (raw) ... -2278 meV/atom
Symmetry ... P312
E ... -7.437 eV per atom

[2]
This record from the Alexandria database describes a relaxed structure of CeP5. The functional is PBE-GGA.

Cell lengths 3.519, 4.854, 6.428 Å; angles 112.18, 90.00, 90.00 degrees
Fractional coordinates of all 6 atoms:
P 0.500 0.774 0.549
P 0.000 0.644 0.288
P 0.500 0.500 0.000
P 0.000 0.356 0.712
P 0.500 0.226 0.451
Ce 0.000 0.000 0.000

Computed properties:
Magnetic moment ... 0.000 μB/cell
DFT formation energy ... -0.306 eV per atom
Distance to the lowest polymorph of the same formula ... 0.202 eV/atom
DOS(E_F) ... 0.685 states/eV per atom
Symmetry ... Cmmm
E ... -5.803 eV per atom

[3]
This record from the Alexandria database describes a relaxed structure of HfCd2Ga. The functional is PBE-GGA.

Cell lengths 7.838, 7.838, 6.227 Å; angles 50.99, 50.99, 90.00 degrees
Fractional coordinates of all 8 atoms:
Hf 0.000 0.000 0.000
Hf 0.750 0.250 0.500
Ga 0.500 0.500 0.000
Ga 0.250 0.750 0.500
Cd 0.595 0.125 0.250
Cd 0.155 0.625 0.250
Cd 0.375 0.405 0.750
Cd 0.875 0.845 0.750

Computed properties:
Magnetic moment ... 0.000 μB/cell
DFT formation energy ... 0.191 eV per atom
DOS(E_F) ... 0.945 states/eV per atom
Symmetry ... I-42d
E ... -3.511 eV per atom